Material: Ni2SbRh
Method: DFT, PBE
State: optimized geometry

a = 4.355 Å, b = 2.982 Å, c = 4.542 Å
α = 86.11°, β = 90.00°, γ = 90.00°
Atoms (fractional coordinates):
Ni1 0.000 0.966 0.002
Ni2 0.000 0.534 0.498
Rh1 0.500 0.250 0.250
Sb1 0.500 0.750 0.750

Summary:
Energy relative to the elements, uncorrected   1.9 kcal/mol of atoms